{
  "formula": "Ca2CrO",
  "functional": "PBE with a Hubbard U",
  "state": "relaxed",
  "lattice_angstrom": [[-3.4430, 3.4430, 4.5192], [3.4430, -3.4430, 4.5192], [3.4430, 3.4430, -4.5192]],
  "species": ["Ca", "Ca", "Ca", "Ca", "Cr", "Cr", "O", "O"],
  "frac_coords": [[0.3750, 0.2455, 0.3705], [0.7545, 0.1250, 0.1295], [0.8750, 0.0045, 0.6295], [0.9955, 0.6250, 0.8705], [0.2500, 0.7500, 0.5000], [0.5000, 0.5000, 0.0000], [0.0000, 0.0000, 0.0000], [0.7500, 0.2500, 0.5000]],
  "dft_energy_ev_per_cell": -41.4
}